The following is a DFT calculation (GGA-PBE) of a relaxed PaSiRu2 crystal.

Results
crystal system	cubic
E_tot	-34.98	eV/f.u.
volume	17.06	Å³/atom
N(E_F)	1.506	states/eV/atom

a b c (Å): 6.486 6.486 6.486
angles (deg): 90.00 90.00 90.00
Fractional coordinates of all 16 atoms:
Pa  0.000  0.000  0.000
Pa  0.000  0.500  0.500
Pa  0.500  0.000  0.500
Pa  0.500  0.500  0.000
Si  0.000  0.000  0.500
Si  0.000  0.500  0.000
Si  0.500  0.000  0.000
Si  0.500  0.500  0.500
Ru  0.250  0.250  0.250
Ru  0.250  0.250  0.750
Ru  0.250  0.750  0.250
Ru  0.250  0.750  0.750
Ru  0.750  0.250  0.250
Ru  0.750  0.250  0.750
Ru  0.750  0.750  0.250
Ru  0.750  0.750  0.750